(1)
Here is a relaxed GeRhSCl2 crystal from Alexandria via LeMat-Bulk. Energies are from PBE.

The spin magnetization comes out at 2.2 μB per formula unit. Its electronic total energy is -3.496 eV per atom. For the energy relative to the lowest polymorph listed for this composition, the calculation gives 408 meV per atom.

The space group is P4/mmm (No. 123) and the conventional cell measures 4.8564, 4.8564 and 4.8966 Å, with angles of 90.00, 90.00 and 90.00 degrees. The distinct sites, in fractional coordinates, are Ge at (0.0000, 0.0000, 0.0000), Rh at (0.5000, 0.5000, 0.5000), S at (0.0000, 0.0000, 0.5000) and Cl at (0.0000, 0.5000, 0.0000).

(2)
Here is a relaxed GeRhSCl2 crystal from Alexandria via LeMat-Bulk. Energies are from PBE.

The spin magnetization comes out at 0.0 μB per formula unit. Its electronic total energy is -3.904 eV per atom. For the energy relative to the lowest polymorph listed for this composition, the calculation gives 0 meV per atom.

The space group is P4/mmm (No. 123) and the conventional cell measures 4.7128, 4.7128 and 4.7680 Å, with angles of 90.00, 90.00 and 90.00 degrees. The distinct sites, in fractional coordinates, are Ge at (0.0000, 0.0000, 0.0000), Rh at (0.5000, 0.5000, 0.5000), S at (0.5000, 0.5000, 0.0000) and Cl at (0.0000, 0.5000, 0.5000).

(3)
Here is a relaxed SiGeRhCl2 crystal from Alexandria via LeMat-Bulk. Energies are from PBE.

The spin magnetization comes out at 0.0 μB per formula unit. Its electronic total energy is -3.834 eV per atom.

The space group is P4/mmm (No. 123) and the conventional cell measures 4.6893, 4.6893 and 4.8227 Å, with angles of 90.00, 90.00 and 90.00 degrees. The distinct sites, in fractional coordinates, are Si at (0.0000, 0.0000, 0.0000), Ge at (0.5000, 0.5000, 0.5000), Rh at (0.0000, 0.0000, 0.5000) and Cl at (0.0000, 0.5000, 0.0000).

(4)
Here is a relaxed SnGeRhCl2 crystal from Alexandria via LeMat-Bulk. Energies are from PBE.

The spin magnetization comes out at 0.0 μB per formula unit. Its electronic total energy is -3.935 eV per atom.

The space group is P4/mmm (No. 123) and the conventional cell measures 4.7653, 4.7653 and 5.0545 Å, with angles of 90.00, 90.00 and 90.00 degrees. The distinct sites, in fractional coordinates, are Sn at (0.0000, 0.0000, 0.0000), Ge at (0.5000, 0.5000, 0.0000), Rh at (0.5000, 0.5000, 0.5000) and Cl at (0.0000, 0.5000, 0.5000).

(5)
Here is a relaxed Sn2GeRhCl crystal from Alexandria via LeMat-Bulk. Energies are from PBE.

The spin magnetization comes out at 0.0 μB per formula unit. Its electronic total energy is -3.483 eV per atom.

The space group is P4/mmm (No. 123) and the conventional cell measures 5.2281, 5.2281 and 4.7762 Å, with angles of 90.00, 90.00 and 90.00 degrees. The distinct sites, in fractional coordinates, are Sn at (0.0000, 0.5000, 0.0000), Ge at (0.0000, 0.0000, 0.5000), Rh at (0.5000, 0.5000, 0.5000) and Cl at (0.0000, 0.0000, 0.0000).

(6)
Here is a relaxed Ge3RuCl crystal from Alexandria via LeMat-Bulk. Energies are from PBE.

The spin magnetization comes out at 2.4 μB per formula unit. Its electronic total energy is -3.725 eV per atom. For the energy relative to the lowest polymorph listed for this composition, the calculation gives 1334 meV per atom.

The space group is Pm-3m (No. 221) and the conventional cell measures 4.8397, 4.8397 and 4.8397 Å, with angles of 90.00, 90.00 and 90.00 degrees. The distinct sites, in fractional coordinates, are Ge at (0.0000, 0.0000, 0.5000), Ru at (0.5000, 0.5000, 0.5000) and Cl at (0.0000, 0.0000, 0.0000).

(7)
Here is a relaxed Ge3RuCl crystal from Alexandria via LeMat-Bulk. Energies are from PBE.

The spin magnetization comes out at 0.0 μB per formula unit. Its electronic total energy is -5.060 eV per atom. For the energy relative to the lowest polymorph listed for this composition, the calculation gives 0 meV per atom.

The space group is Pm-3m (No. 221) and the conventional cell measures 4.8086, 4.8086 and 4.8086 Å, with angles of 90.00, 90.00 and 90.00 degrees. The distinct sites, in fractional coordinates, are Ge at (0.0000, 0.0000, 0.5000), Ru at (0.0000, 0.0000, 0.0000) and Cl at (0.5000, 0.5000, 0.5000).

(8)
Here is a relaxed GeRu3Cl crystal from Alexandria via LeMat-Bulk. Energies are from PBE.

The spin magnetization comes out at 0.0 μB per formula unit. Its electronic total energy is -5.665 eV per atom. For the energy relative to the lowest polymorph listed for this composition, the calculation gives 0 meV per atom.

The space group is Pm-3m (No. 221) and the conventional cell measures 4.3797, 4.3797 and 4.3797 Å, with angles of 90.00, 90.00 and 90.00 degrees. The distinct sites, in fractional coordinates, are Ge at (0.0000, 0.0000, 0.0000), Ru at (0.0000, 0.5000, 0.5000) and Cl at (0.5000, 0.5000, 0.5000).

(9)
Here is a relaxed GeRuSCl2 crystal from Alexandria via LeMat-Bulk. Energies are from PBE.

The spin magnetization comes out at 3.4 μB per formula unit. Its electronic total energy is -3.717 eV per atom. For the energy relative to the lowest polymorph listed for this composition, the calculation gives 452 meV per atom.

The space group is P4/mmm (No. 123) and the conventional cell measures 4.9154, 4.9154 and 4.8786 Å, with angles of 90.00, 90.00 and 90.00 degrees. The distinct sites, in fractional coordinates, are Ge at (0.0000, 0.0000, 0.0000), Ru at (0.5000, 0.5000, 0.5000), S at (0.0000, 0.0000, 0.5000) and Cl at (0.0000, 0.5000, 0.0000).

(10)
Here is a relaxed GeRuSCl2 crystal from Alexandria via LeMat-Bulk. Energies are from PBE.

The spin magnetization comes out at 0.0 μB per formula unit. Its electronic total energy is -4.169 eV per atom. For the energy relative to the lowest polymorph listed for this composition, the calculation gives 0 meV per atom.

The space group is P4/mmm (No. 123) and the conventional cell measures 4.8311, 4.8311 and 4.5446 Å, with angles of 90.00, 90.00 and 90.00 degrees. The distinct sites, in fractional coordinates, are Ge at (0.0000, 0.0000, 0.0000), Ru at (0.5000, 0.5000, 0.5000), S at (0.5000, 0.5000, 0.0000) and Cl at (0.0000, 0.5000, 0.5000).

(11)
Here is a relaxed GeRuS2Cl crystal from Alexandria via LeMat-Bulk. Energies are from PBE.

The spin magnetization comes out at 3.8 μB per formula unit. Its electronic total energy is -3.984 eV per atom. For the energy relative to the lowest polymorph listed for this composition, the calculation gives 548 meV per atom.

The space group is P4/mmm (No. 123) and the conventional cell measures 4.7382, 4.7382 and 4.7978 Å, with angles of 90.00, 90.00 and 90.00 degrees. The distinct sites, in fractional coordinates, are Ge at (0.0000, 0.0000, 0.0000), Ru at (0.5000, 0.5000, 0.5000), S at (0.0000, 0.5000, 0.0000) and Cl at (0.0000, 0.0000, 0.5000).

(12)
Here is a relaxed GeRuS2Cl crystal from Alexandria via LeMat-Bulk. Energies are from PBE.

The spin magnetization comes out at 0.0 μB per formula unit. Its electronic total energy is -4.532 eV per atom. For the energy relative to the lowest polymorph listed for this composition, the calculation gives 0 meV per atom.

The space group is P4/mmm (No. 123) and the conventional cell measures 4.6261, 4.6261 and 4.8246 Å, with angles of 90.00, 90.00 and 90.00 degrees. The distinct sites, in fractional coordinates, are Ge at (0.0000, 0.0000, 0.0000), Ru at (0.5000, 0.5000, 0.5000), S at (0.0000, 0.5000, 0.5000) and Cl at (0.5000, 0.5000, 0.0000).

no.,volume (Å³ per cell)
1,115.5
2,105.9
3,106.0
4,114.8
5,130.5
6,113.4
7,111.2
8,84.0
9,117.9
10,106.1
11,107.7
12,103.3